--- P ---
BAsI2O: relaxed, PBE-GGA.

Cell lengths 5.777, 5.777, 3.809 Å; angles 90.00, 90.00, 90.00 degrees
Fractional coordinates of all 5 atoms:
I 0.000 0.500 0.000
I 0.500 0.000 0.000
As 0.000 0.000 0.000
B 0.500 0.500 0.500
O 0.000 0.000 0.500

N(E_F)	0.513	states/eV/f.u.
SG	P4/mmm
size of the total moment	0.000	μB/cell



--- Q ---
BAsI2O: relaxed, PBE-GGA.

Cell lengths 6.630, 6.630, 2.793 Å; angles 90.00, 90.00, 90.00 degrees
Each line ends with the local moment (μB).
Fractional coordinates of all 5 atoms:
I 0.000 0.500 0.000  0.00
I 0.500 0.000 0.000  0.00
As 0.500 0.500 0.500  0.00
B 0.000 0.000 0.000  0.17
O 0.000 0.000 0.500  -0.01

N(E_F)	1.681	states/eV/f.u.
SG	P4/mmm
size of the total moment	0.322	μB/cell



Looking at the structures above, Q is most stable, and the difference to the next one is 501 meV/atom.